A plane-wave DFT calculation with PBE-GGA was carried out for crystalline Rb2TiGa2 at its relaxed geometry.

Results
The calculation puts the calculated formation energy at 0.763 eV per atom. The energy relative to the lowest polymorph listed for this composition is 32.67 kJ/mol of atoms. The mass density is 4.229 Mg/m³.

a b c (Å): 4.2092 4.2092 15.8794
angles (deg): 90.00 90.00 90.00
Closest atoms and distances in Å follow each position.
Sites, in units of the cell vectors:
Rb: 0.0000 0.5000 0.2500  4 Rb 2.98
Rb: 0.0000 0.5000 0.7500  4 Rb 2.98
Rb: 0.5000 0.0000 0.2500  4 Rb 2.98
Rb: 0.5000 0.0000 0.7500  4 Rb 2.98
Ti: 0.0000 0.0000 0.0000  8 Ga 3.22
Ti: 0.5000 0.5000 0.5000  8 Ga 3.22
Ga: 0.0000 0.0000 0.4233  1 Ga 2.44
Ga: 0.0000 0.0000 0.5767  1 Ga 2.44
Ga: 0.5000 0.5000 0.0767  1 Ga 2.44
Ga: 0.5000 0.5000 0.9233  1 Ga 2.44

---

A plane-wave DFT calculation with PBE-GGA was carried out for crystalline La2TcRu at its relaxed geometry.

Results
The calculation puts the calculated formation energy at 0.424 eV per atom. The energy relative to the lowest polymorph listed for this composition is 41.99 kJ/mol of atoms. The mass density is 8.905 Mg/m³.

a b c (Å): 7.4661 7.4661 6.3814
angles (deg): 90.00 90.00 90.00
Closest atoms and distances in Å follow each position.
Sites, in units of the cell vectors:
La: 0.2476 0.2500 0.1250  2 Ru 2.75, 2 Tc 2.77
La: 0.2500 0.7476 0.3750  2 Ru 2.75, 2 Tc 2.77
La: 0.2500 0.7524 0.8750  2 Ru 2.75, 2 Tc 2.77
La: 0.2524 0.2500 0.6250  2 Ru 2.75, 2 Tc 2.77
La: 0.7476 0.7500 0.6250  2 Ru 2.75, 2 Tc 2.77
La: 0.7500 0.2476 0.8750  2 Ru 2.75, 2 Tc 2.77
La: 0.7500 0.2524 0.3750  2 Ru 2.75, 2 Tc 2.77
La: 0.7524 0.7500 0.1250  2 Ru 2.75, 2 Tc 2.77
Tc: 0.0000 0.0000 0.5000  4 La 2.77
Tc: 0.0000 0.5000 0.7500  4 La 2.77
Tc: 0.5000 0.0000 0.2500  4 La 2.77
Tc: 0.5000 0.5000 0.0000  4 La 2.77
Ru: 0.0000 0.0000 0.0000  4 La 2.75
Ru: 0.0000 0.5000 0.2500  4 La 2.75
Ru: 0.5000 0.0000 0.7500  4 La 2.75
Ru: 0.5000 0.5000 0.5000  4 La 2.75